[1]
The following is a DFT calculation (GGA-PBE) of a geometry-optimized BaPaTe3 structure.

abc: 5.935 5.935 5.935
angles: 90.00 90.00 90.00
Fractional positions:
Ba1 0.000 0.000 0.000
Pa1 0.500 0.500 0.500
Te1 0.000 0.500 0.500
Te2 0.500 0.000 0.500
Te3 0.500 0.500 0.000

Values from the calculation:
- Formation energy without anion corrections: -1037 meV per atom
- Space group: Pm-3m



[2]
The following is a DFT calculation (GGA-PBE) of a geometry-optimized BaPaTe2 structure.

abc: 3.899 3.899 8.205
angles: 90.00 90.00 90.00
Fractional positions:
Ba1 0.000 0.000 0.000
Pa1 0.000 0.000 0.500
Te1 0.500 0.500 0.283
Te2 0.500 0.500 0.717

Values from the calculation:
- Formation energy without anion corrections: -1010 meV per atom
- Space group: P4/mmm



[3]
The following is a DFT calculation (GGA-PBE) of a geometry-optimized BaPa2Te5 structure.

abc: 9.600 9.600 9.600
angles: 128.27 128.27 76.19
Fractional positions:
Ba1 0.250 0.250 0.000
Ba2 0.750 0.750 0.000
Pa1 0.149 0.649 0.799
Pa2 0.351 0.149 0.500
Pa3 0.649 0.851 0.500
Pa4 0.851 0.351 0.201
Te1 0.000 0.000 0.000
Te2 0.016 0.216 0.500
Te3 0.216 0.716 0.200
Te4 0.284 0.484 0.500
Te5 0.484 0.984 0.200
Te6 0.500 0.500 0.000
Te7 0.516 0.016 0.800
Te8 0.716 0.516 0.500
Te9 0.784 0.284 0.800
Te10 0.984 0.784 0.500

Values from the calculation:
- Formation energy without anion corrections: -1116 meV per atom
- Space group: I4/mcm



[4]
The following is a DFT calculation (GGA-PBE) of a geometry-optimized Ba2PaTl3Te6 structure.

abc: 8.386 8.386 8.454
angles: 99.47 99.47 119.76
Fractional positions:
Ba1 0.166 0.834 0.000
Ba2 0.834 0.166 0.000
Pa1 0.500 0.500 0.000
Tl1 0.000 0.000 0.500
Tl2 0.335 0.665 0.500
Tl3 0.665 0.335 0.500
Te1 0.134 0.425 0.777
Te2 0.285 0.285 0.230
Te3 0.425 0.134 0.777
Te4 0.575 0.866 0.223
Te5 0.715 0.715 0.770
Te6 0.866 0.575 0.223

Values from the calculation:
- Formation energy without anion corrections: -984 meV per atom
- Space group: C2/m



[5]
The following is a DFT calculation (GGA-PBE) of a geometry-optimized Ba2PaZnTe5 structure.

abc: 10.413 10.413 14.185
angles: 90.00 90.00 154.70
Fractional positions:
Ba1 0.116 0.884 0.500
Ba2 0.122 0.878 0.131
Ba3 0.878 0.122 0.631
Ba4 0.884 0.116 0.000
Pa1 0.201 0.799 0.828
Pa2 0.799 0.201 0.328
Zn1 0.437 0.563 0.247
Zn2 0.563 0.437 0.747
Te1 0.051 0.949 0.852
Te2 0.294 0.706 0.475
Te3 0.306 0.694 0.177
Te4 0.350 0.650 0.818
Te5 0.499 0.501 0.085
Te6 0.501 0.499 0.585
Te7 0.650 0.350 0.318
Te8 0.694 0.306 0.677
Te9 0.706 0.294 0.975
Te10 0.949 0.051 0.352

Values from the calculation:
- Formation energy without anion corrections: -1170 meV per atom
- Space group: Cmc2_1



[6]
The following is a DFT calculation (GGA-PBE) of a geometry-optimized BaTm2Pa structure.

abc: 12.584 12.584 12.584
angles: 15.90 15.90 15.90
Fractional positions:
Ba1 0.000 0.000 0.000
Tm1 0.096 0.096 0.096
Tm2 0.904 0.904 0.904
Pa1 0.500 0.500 0.500

Values from the calculation:
- DFT total energy: -19.187 eV/cell
- Space group: R-3m



[7]
The following is a DFT calculation (GGA-PBE) of a geometry-optimized BaPb structure.

abc: 4.214 4.214 5.534
angles: 90.00 90.00 120.00
Fractional positions:
Ba1 0.000 0.000 0.000
Pb1 0.667 0.333 0.500

Values from the calculation:
- DFT total energy: -6.271 eV/cell
- Space group: P-6m2



[8]
The following is a DFT calculation (GGA-PBE) of a geometry-optimized BaPb3 structure.

abc: 6.688 6.688 11.928
angles: 106.85 106.85 60.63
Fractional positions:
Ba1 0.000 0.000 0.000
Ba2 0.140 0.140 0.422
Ba3 0.860 0.860 0.578
Pb1 0.080 0.582 0.250
Pb2 0.337 0.337 0.003
Pb3 0.415 0.415 0.747
Pb4 0.418 0.920 0.750
Pb5 0.500 0.500 0.500
Pb6 0.582 0.080 0.250
Pb7 0.585 0.585 0.253
Pb8 0.663 0.663 0.997
Pb9 0.920 0.418 0.750

Values from the calculation:
- DFT total energy: -43.044 eV/cell
- Space group: C2/m